Entry 1:
DFT (GGA-PBE) results for an optimized crystal structure of Ti3Zn2Au2.

Results
Magnetization ... 2.515 μB per formula unit
Density ... 9.31 g cm⁻³
Electronic total energy ... -68.80 eV per cell
Space group ... Cmce

Structure (extended XYZ):
```
14
Lattice="-2.6496 -0.5818 -3.6955 -4.2904 -11.4327 4.8761 -1.6226 2.1828 3.6901" Properties=species:S:1:pos:R:3 pbc="T T T"
Ti -4.2813 -4.9159 2.4354
Ti 0.0000 0.0000 0.0000
Ti -6.1824 -9.9820 3.1970
Ti -4.2122 -4.7457 -0.5204
Ti -4.3503 -5.0861 5.3912
Ti -2.3802 0.1503 1.6738
Zn -5.1463 -7.2143 3.4167
Zn -5.1331 -0.6995 0.9748
Zn -3.4295 -9.1322 3.8959
Zn -3.4163 -2.6174 1.4541
Au -3.4382 -2.6643 4.2937
Au -2.8138 -1.0146 -0.6923
Au -5.7488 -8.8171 5.5631
Au -5.1244 -7.1674 0.5771
```

***

Entry 2:
DFT (GGA-PBE) results for an optimized crystal structure of YHo8Tm2.

Results
Magnetization ... 0.000 μB per formula unit
Density ... 8.30 g cm⁻³
Space group ... C2/m
Energy above the most stable polymorph in this dataset ... 0.37 eV/f.u.

Structure (extended XYZ):
```
11
Lattice="5.5671 1.8609 0.0000 2.9238 8.5597 0.0000 1.4619 4.2799 8.2713" Properties=species:S:1:pos:R:3 pbc="T T T"
Y 2.7835 0.9305 0.0000
Ho 5.0873 3.3873 2.0811
Ho 6.5492 7.6672 6.1903
Ho 2.8991 4.4054 0.0000
Ho 5.7074 9.4902 3.3643
Ho 4.2455 5.2103 4.9070
Ho 5.5918 6.0153 0.0000
Ho 3.4036 7.0333 2.0811
Ho 4.8655 11.3132 6.1903
Tm 1.4619 4.2799 3.1237
Tm 2.9238 8.5597 5.1476
```

***

Entry 3:
DFT (GGA-PBE) results for an optimized crystal structure of Ac5PmRu4.

Results
Magnetization ... 0.000 μB per formula unit
Density ... 9.12 g cm⁻³
Electronic total energy ... -62.68 eV per cell
Space group ... C2/m

Structure (extended XYZ):
```
10
Lattice="4.2879 0.0000 0.0000 0.0000 8.1735 -0.0750 -2.1440 -2.2546 8.7699" Properties=species:S:1:pos:R:3 pbc="T T T"
Ac 0.0000 1.9989 2.8438
Ac 0.0000 6.2077 2.8514
Ac 2.1440 -0.2888 5.8436
Ac 2.1440 4.0868 -0.0375
Ac 2.1440 3.9200 5.8512
Pm 2.1440 0.0000 0.0000
Ru 2.1440 0.2152 3.0538
Ru 2.1440 -0.1644 8.6431
Ru 0.0000 5.7038 5.6412
Ru 0.0000 6.0834 0.0519
```